#w
As2OsRu: relaxed, GGA-PBE.

Fermi-level density of states = 2.87 states/eV/cell
Volume = 63 Å³ per cell

Lattice parameters (Å, degrees): 4.073 3.013 5.149 90.87 90.00 90.00
Fractional coordinates of all 4 atoms:
Os: 0.500 0.250 0.250
As: 0.000 0.105 0.983
As: 0.000 0.395 0.517
Ru: 0.500 0.750 0.750


#x
As2OsRu: relaxed, GGA-PBE.

Fermi-level density of states = 6.83 states/eV/cell
Volume = 62 Å³ per cell

Lattice parameters (Å, degrees): 4.454 4.454 4.454 60.00 60.00 60.00
Fractional coordinates of all 4 atoms:
As: 0.000 0.000 0.000
As: 0.250 0.250 0.250
Ru: 0.750 0.750 0.750
Os: 0.500 0.500 0.500


Verdict on stability: #w comes out on top.


#w
As2OsRu: relaxed, GGA-PBE.

Fermi-level density of states = 3.94 states/eV/cell
Volume = 61 Å³ per cell

Lattice parameters (Å, degrees): 4.777 4.777 4.777 130.89 130.89 71.98
Fractional coordinates of all 4 atoms:
As: 0.000 0.000 0.000
As: 0.250 0.750 0.500
Os: 0.500 0.500 0.000
Ru: 0.750 0.250 0.500


#x
As2OsRu: relaxed, GGA-PBE.

Fermi-level density of states = 3.25 states/eV/cell
Volume = 75 Å³ per cell

Lattice parameters (Å, degrees): 10.133 10.133 10.133 16.75 16.75 16.75
Fractional coordinates of all 4 atoms:
Os: 0.495 0.495 0.495
As: 0.223 0.223 0.223
As: 0.028 0.028 0.028
Ru: 0.754 0.754 0.754


#y
As2OsRu: relaxed, GGA-PBE.

Fermi-level density of states = 2.42 states/eV/cell
Volume = 70 Å³ per cell

Lattice parameters (Å, degrees): 2.908 2.908 8.276 90.00 90.00 90.00
Fractional coordinates of all 4 atoms:
As: 0.000 0.000 0.927
As: 0.500 0.500 0.322
Ru: 0.500 0.500 0.739
Os: 0.000 0.000 0.512


#z
As2OsRu: relaxed, GGA-PBE.

Fermi-level density of states = 2.84 states/eV/cell
Volume = 59 Å³ per cell

Lattice parameters (Å, degrees): 4.366 4.366 4.366 60.00 60.00 60.00
Fractional coordinates of all 4 atoms:
As: 0.750 0.750 0.750
As: 0.250 0.250 0.250
Os: 0.500 0.500 0.500
Ru: 0.000 0.000 0.000


Verdict on stability: #y comes out on top.


#w
As2OsRu: relaxed, GGA-PBE.

Fermi-level density of states = 4.40 states/eV/cell
Volume = 165 Å³ per cell

Lattice parameters (Å, degrees): 5.504 5.504 6.706 65.77 65.77 90.00
Fractional coordinates of all 8 atoms:
Ru: 0.250 0.750 0.500
Ru: 0.500 0.500 0.000
Os: 0.750 0.250 0.500
Os: 0.000 0.000 0.000
As: 0.124 0.625 0.250
As: 0.875 0.876 0.750
As: 0.375 0.374 0.750
As: 0.626 0.125 0.250


#x
As2OsRu: relaxed, GGA-PBE.

Fermi-level density of states = 3.46 states/eV/cell
Volume = 63 Å³ per cell

Lattice parameters (Å, degrees): 5.042 5.042 5.042 145.54 117.97 72.93
Fractional coordinates of all 4 atoms:
As: 0.500 0.500 0.000
As: 0.000 0.000 0.000
Ru: 0.250 0.750 0.500
Os: 0.750 0.250 0.500


Verdict on stability: #w comes out on top.


#w
As2OsRu: relaxed, GGA-PBE.

Fermi-level density of states = 2.53 states/eV/cell
Volume = 62 Å³ per cell

Lattice parameters (Å, degrees): 5.460 5.460 5.460 147.81 134.05 57.21
Fractional coordinates of all 4 atoms:
As: 0.736 0.236 0.500
As: 0.013 0.013 0.000
Ru: 0.233 0.733 0.500
Os: 0.519 0.519 0.000


#x
As2OsRu: relaxed, GGA-PBE.

Fermi-level density of states = 3.72 states/eV/cell
Volume = 60 Å³ per cell

Lattice parameters (Å, degrees): 7.914 7.914 7.914 21.83 21.83 21.83
Fractional coordinates of all 4 atoms:
As: 0.001 0.001 0.001
As: 0.499 0.499 0.499
Os: 0.250 0.250 0.250
Ru: 0.750 0.750 0.750


#y
As2OsRu: relaxed, GGA-PBE.

Fermi-level density of states = 2.80 states/eV/cell
Volume = 59 Å³ per cell

Lattice parameters (Å, degrees): 4.372 4.372 3.085 90.00 90.00 89.99
Fractional coordinates of all 4 atoms:
As: 0.500 0.500 0.000
As: 0.000 0.000 0.000
Os: 0.500 0.000 0.500
Ru: 0.000 0.500 0.500


#z
As2OsRu: relaxed, GGA-PBE.

Fermi-level density of states = 2.58 states/eV/cell
Volume = 61 Å³ per cell

Lattice parameters (Å, degrees): 2.979 3.886 5.242 90.00 90.00 90.00
Fractional coordinates of all 4 atoms:
Os: 0.000 0.000 0.455
As: 0.500 0.500 0.304
As: 0.000 0.000 0.944
Ru: 0.500 0.500 0.797


Verdict on stability: #z comes out on top.


#w
SbAsOs3: relaxed, GGA-PBE.

Fermi-level density of states = 4.31 states/eV/cell
Volume = 112 Å³ per cell

Lattice parameters (Å, degrees): 4.820 4.820 4.820 90.00 90.00 90.00
Fractional coordinates of all 5 atoms:
Os: 0.000 0.000 0.500
Os: 0.000 0.500 0.000
Os: 0.500 0.000 0.000
As: 0.500 0.500 0.500
Sb: 0.000 0.000 0.000


#x
SbAsOs3: relaxed, GGA-PBE.

Fermi-level density of states = 3.15 states/eV/cell
Volume = 97 Å³ per cell

Lattice parameters (Å, degrees): 4.590 4.590 4.590 90.00 90.00 90.00
Fractional coordinates of all 5 atoms:
Os: 0.500 0.000 0.000
Os: 0.000 0.000 0.500
Os: 0.000 0.500 0.000
As: 0.000 0.000 0.000
Sb: 0.500 0.500 0.500


Verdict on stability: #x comes out on top.


#w
ScAsOs3: relaxed, GGA-PBE.

Fermi-level density of states = 5.71 states/eV/cell
Volume = 101 Å³ per cell

Lattice parameters (Å, degrees): 4.655 4.655 4.655 90.00 90.00 90.00
Each line ends with the local moment (μB).
Fractional coordinates of all 5 atoms:
Sc: 0.000 0.000 0.000  -0.01
Os: 0.000 0.000 0.500  0.04
Os: 0.000 0.500 0.000  0.06
Os: 0.500 0.000 0.000  0.06
As: 0.500 0.500 0.500  -0.01


#x
ScAsOs3: relaxed, GGA-PBE.

Fermi-level density of states = 2.22 states/eV/cell
Volume = 93 Å³ per cell

Lattice parameters (Å, degrees): 4.523 4.523 4.523 90.00 90.00 90.00
Fractional coordinates of all 5 atoms:
Os: 0.000 0.500 0.000
Os: 0.000 0.000 0.500
Os: 0.500 0.000 0.000
As: 0.000 0.000 0.000
Sc: 0.500 0.500 0.500


Verdict on stability: #x comes out on top.


#w
ScAs2OsSe: relaxed, GGA-PBE.

Fermi-level density of states = 5.51 states/eV/cell
Volume = 126 Å³ per cell

Lattice parameters (Å, degrees): 5.063 5.063 4.904 90.00 90.00 90.00
Each line ends with the local moment (μB).
Fractional coordinates of all 5 atoms:
Sc: 0.000 0.000 0.000  0.02
As: 0.000 0.500 0.000  -0.12
As: 0.500 0.000 0.000  -0.12
Se: 0.000 0.000 0.500  -0.06
Os: 0.500 0.500 0.500  2.62


#x
ScAs2OsSe: relaxed, GGA-PBE.

Fermi-level density of states = 3.77 states/eV/cell
Volume = 117 Å³ per cell

Lattice parameters (Å, degrees): 4.652 4.652 5.420 90.00 90.00 90.00
Fractional coordinates of all 5 atoms:
As: 0.500 0.000 0.000
As: 0.000 0.500 0.000
Se: 0.000 0.000 0.500
Sc: 0.500 0.500 0.500
Os: 0.000 0.000 0.000


Verdict on stability: #x comes out on top.


#w
AsOsSe2: relaxed, GGA-PBE.

Fermi-level density of states = 0.94 states/eV/cell
Volume = 81 Å³ per cell

Lattice parameters (Å, degrees): 3.797 4.906 5.110 57.89 90.00 90.00
Fractional coordinates of all 4 atoms:
Se: 0.000 0.950 0.929
Se: 0.000 0.550 0.571
As: 0.500 0.250 0.250
Os: 0.500 0.750 0.750


#x
AsOsSe2: relaxed, GGA-PBE.

Fermi-level density of states = 3.65 states/eV/cell
Volume = 86 Å³ per cell

Lattice parameters (Å, degrees): 12.511 12.511 12.511 12.99 12.99 12.99
Fractional coordinates of all 4 atoms:
Os: 0.000 0.000 0.000
Se: 0.935 0.935 0.935
Se: 0.065 0.065 0.065
As: 0.500 0.500 0.500


Verdict on stability: #w comes out on top.